1.
Li3CoPCO7 meta-GGA SCAN single point on PBEsol structure; uncorrected formation energy = -27.52 eV/f.u.; ΔE to the lowest computed polymorph = 0 meV per atom; density of states at the Fermi level = 0.000 states/eV/atom; total DFT energy (no corrections) = -8.931 eV per atom; ρ = 3.03 Mg/m³
1.0
4.907 0.000 0.000
0.000 6.286 0.000
-0.894 0.000 8.340
Li Co P C O
6 2 2 2 14
Direct
0.206 0.250 0.105 Li
0.267 0.512 0.725 Li
0.267 0.988 0.725 Li
0.733 0.012 0.275 Li
0.733 0.488 0.275 Li
0.794 0.750 0.895 Li
0.211 0.750 0.329 Co
0.789 0.250 0.671 Co
0.271 0.250 0.412 P
0.729 0.750 0.588 P
0.323 0.750 0.040 C
0.677 0.250 0.960 C
0.070 0.750 0.068 O
0.163 0.250 0.576 O
0.165 0.060 0.303 O
0.165 0.440 0.303 O
0.394 0.750 0.896 O
0.410 0.750 0.566 O
0.493 0.250 0.836 O
0.507 0.750 0.164 O
0.590 0.250 0.434 O
0.606 0.250 0.104 O
0.835 0.560 0.697 O
0.835 0.940 0.697 O
0.837 0.750 0.424 O
0.930 0.250 0.932 O

2.
LiCoPCO7 meta-GGA SCAN single point on PBEsol structure; uncorrected formation energy = -19.53 eV/f.u.; total DFT energy (no corrections) = -9.395 eV per atom; ρ = 2.92 Mg/m³
1.0
4.947 0.000 0.000
0.000 5.995 0.000
-0.647 0.000 8.468
Li Co P C O
2 2 2 2 14
Direct
0.218 0.000 0.284 Li
0.782 0.500 0.716 Li
0.209 0.268 0.833 Co
0.791 0.768 0.167 Co
0.277 0.772 0.930 P
0.723 0.272 0.070 P
0.282 0.261 0.566 C
0.718 0.761 0.434 C
0.043 0.269 0.625 O
0.132 0.783 0.082 O
0.185 0.575 0.820 O
0.204 0.969 0.817 O
0.325 0.234 0.428 O
0.413 0.260 0.029 O
0.471 0.279 0.685 O
0.529 0.779 0.315 O
0.587 0.760 0.971 O
0.675 0.734 0.572 O
0.796 0.469 0.183 O
0.815 0.075 0.180 O
0.868 0.283 0.918 O
0.957 0.769 0.375 O

3.
Li3CoPCO7 meta-GGA SCAN single point on PBEsol structure; uncorrected formation energy = -27.24 eV/f.u.; ΔE to the lowest computed polymorph = 22 meV per atom; density of states at the Fermi level = 0.000 states/eV/atom; total DFT energy (no corrections) = -8.910 eV per atom; ρ = 3.06 Mg/m³
1.0
4.801 0.000 0.000
0.000 6.272 0.000
-0.394 0.000 8.450
Li Co P C O
6 2 2 2 14
Direct
0.217 0.000 0.205 Li
0.227 0.219 0.865 Li
0.267 0.664 0.610 Li
0.733 0.164 0.390 Li
0.773 0.719 0.135 Li
0.783 0.500 0.795 Li
0.232 0.473 0.251 Co
0.768 0.973 0.749 Co
0.290 0.718 0.917 P
0.710 0.218 0.083 P
0.251 0.162 0.540 C
0.749 0.662 0.460 C
0.010 0.651 0.432 O
0.149 0.910 0.832 O
0.196 0.521 0.819 O
0.214 0.718 0.093 O
0.324 0.194 0.394 O
0.388 0.243 0.088 O
0.443 0.149 0.650 O
0.557 0.649 0.350 O
0.612 0.743 0.912 O
0.676 0.694 0.606 O
0.786 0.218 0.907 O
0.804 0.021 0.181 O
0.851 0.410 0.168 O
0.990 0.151 0.568 O

4.
Li4Co2C4SO16 meta-GGA SCAN single point on PBEsol structure; uncorrected formation energy = -45.04 eV/f.u.; density of states at the Fermi level = 0.000 states/eV/atom; total DFT energy (no corrections) = -8.849 eV per atom; ρ = 2.98 Mg/m³
1.0
0.000 6.369 6.747
6.249 0.000 6.747
6.249 6.369 0.000
Li Co C S O
8 4 8 2 32
Direct
0.081 0.669 0.081 Li
0.082 0.668 0.668 Li
0.331 0.919 0.331 Li
0.332 0.918 0.918 Li
0.668 0.082 0.082 Li
0.669 0.081 0.669 Li
0.918 0.332 0.332 Li
0.919 0.331 0.919 Li
0.000 0.500 0.500 Co
0.500 0.000 0.500 Co
0.500 0.500 0.000 Co
0.500 0.500 0.500 Co
0.272 0.646 0.293 C
0.290 0.293 0.646 C
0.293 0.290 0.272 C
0.354 0.728 0.710 C
0.646 0.272 0.290 C
0.707 0.710 0.728 C
0.710 0.707 0.354 C
0.728 0.354 0.707 C
0.125 0.125 0.125 S
0.875 0.875 0.875 S
0.044 0.325 0.066 O
0.064 0.066 0.325 O
0.066 0.064 0.044 O
0.127 0.643 0.426 O
0.137 0.423 0.288 O
0.142 0.309 0.648 O
0.288 0.652 0.137 O
0.304 0.426 0.643 O
0.309 0.142 0.401 O
0.325 0.044 0.064 O
0.348 0.712 0.577 O
0.352 0.599 0.858 O
0.357 0.873 0.696 O
0.401 0.648 0.309 O
0.423 0.137 0.652 O
0.426 0.304 0.127 O
0.574 0.696 0.873 O
0.577 0.863 0.348 O
0.599 0.352 0.691 O
0.643 0.127 0.304 O
0.648 0.401 0.142 O
0.652 0.288 0.423 O
0.675 0.956 0.936 O
0.691 0.858 0.599 O
0.696 0.574 0.357 O
0.712 0.348 0.863 O
0.858 0.691 0.352 O
0.863 0.577 0.712 O
0.873 0.357 0.574 O
0.934 0.936 0.956 O
0.936 0.934 0.675 O
0.956 0.675 0.934 O

5.
Li2CoCSO7 meta-GGA SCAN single point on PBEsol structure; uncorrected formation energy = -21.03 eV/f.u.; density of states at the Fermi level = 0.000 states/eV/atom; total DFT energy (no corrections) = -8.872 eV per atom; ρ = 2.85 Mg/m³
1.0
4.887 0.000 0.000
0.000 6.304 0.000
-0.873 0.000 8.650
Li Co C S O
4 2 2 2 14
Direct
0.216 0.016 0.309 Li
0.216 0.484 0.309 Li
0.784 0.516 0.691 Li
0.784 0.984 0.691 Li
0.226 0.750 0.849 Co
0.774 0.250 0.151 Co
0.272 0.750 0.566 C
0.728 0.250 0.434 C
0.258 0.250 0.911 S
0.742 0.750 0.089 S
0.030 0.750 0.617 O
0.154 0.250 0.065 O
0.157 0.063 0.818 O
0.157 0.437 0.818 O
0.307 0.750 0.424 O
0.436 0.750 0.067 O
0.479 0.750 0.675 O
0.521 0.250 0.325 O
0.564 0.250 0.933 O
0.693 0.250 0.576 O
0.843 0.563 0.182 O
0.843 0.937 0.182 O
0.846 0.750 0.935 O
0.970 0.250 0.383 O

6.
Li6Co2C4SO16 meta-GGA SCAN single point on PBEsol structure; uncorrected formation energy = -51.44 eV/f.u.; density of states at the Fermi level = 0.444 states/eV/atom; total DFT energy (no corrections) = -8.625 eV per atom; ρ = 2.99 Mg/m³
1.0
0.000 6.507 6.507
6.507 0.000 6.507
6.507 6.507 0.000
Li Co C S O
12 4 8 2 32
Direct
0.093 0.093 0.657 Li
0.093 0.657 0.093 Li
0.093 0.657 0.657 Li
0.343 0.343 0.907 Li
0.343 0.907 0.343 Li
0.343 0.907 0.907 Li
0.657 0.093 0.093 Li
0.657 0.093 0.657 Li
0.657 0.657 0.093 Li
0.907 0.343 0.343 Li
0.907 0.343 0.907 Li
0.907 0.907 0.343 Li
0.000 0.500 0.500 Co
0.500 0.000 0.500 Co
0.500 0.500 0.000 Co
0.500 0.500 0.500 Co
0.276 0.276 0.276 C
0.276 0.276 0.672 C
0.276 0.672 0.276 C
0.328 0.724 0.724 C
0.672 0.276 0.276 C
0.724 0.328 0.724 C
0.724 0.724 0.328 C
0.724 0.724 0.724 C
0.125 0.125 0.125 S
0.875 0.875 0.875 S
0.059 0.059 0.059 O
0.059 0.059 0.323 O
0.059 0.323 0.059 O
0.131 0.285 0.672 O
0.131 0.412 0.285 O
0.131 0.672 0.412 O
0.285 0.131 0.412 O
0.285 0.412 0.672 O
0.285 0.672 0.131 O
0.323 0.059 0.059 O
0.328 0.588 0.869 O
0.328 0.715 0.588 O
0.328 0.869 0.715 O
0.412 0.131 0.672 O
0.412 0.285 0.131 O
0.412 0.672 0.285 O
0.588 0.328 0.715 O
0.588 0.715 0.869 O
0.588 0.869 0.328 O
0.672 0.131 0.285 O
0.672 0.285 0.412 O
0.672 0.412 0.131 O
0.677 0.941 0.941 O
0.715 0.328 0.869 O
0.715 0.588 0.328 O
0.715 0.869 0.588 O
0.869 0.328 0.588 O
0.869 0.588 0.715 O
0.869 0.715 0.328 O
0.941 0.677 0.941 O
0.941 0.941 0.677 O
0.941 0.941 0.941 O

7.
Li3CoSiCO7 meta-GGA SCAN single point on PBEsol structure; uncorrected formation energy = -27.98 eV/f.u.; density of states at the Fermi level = 0.000 states/eV/atom; total DFT energy (no corrections) = -8.938 eV per atom; ρ = 3.15 Mg/m³
1.0
4.883 0.000 0.000
0.000 6.181 0.000
-0.736 0.000 8.109
Li Co Si C O
6 2 2 2 14
Direct
0.221 0.250 0.109 Li
0.241 0.524 0.711 Li
0.241 0.976 0.711 Li
0.759 0.024 0.289 Li
0.759 0.476 0.289 Li
0.779 0.750 0.891 Li
0.197 0.750 0.317 Co
0.803 0.250 0.683 Co
0.282 0.250 0.425 Si
0.718 0.750 0.575 Si
0.302 0.750 0.040 C
0.698 0.250 0.960 C
0.051 0.750 0.081 O
0.146 0.250 0.599 O
0.179 0.053 0.298 O
0.179 0.447 0.298 O
0.367 0.750 0.892 O
0.379 0.750 0.536 O
0.485 0.750 0.167 O
0.515 0.250 0.833 O
0.621 0.250 0.464 O
0.633 0.250 0.108 O
0.821 0.553 0.702 O
0.821 0.947 0.702 O
0.854 0.750 0.401 O
0.949 0.250 0.919 O

8.
LiCo2CS meta-GGA SCAN single point on PBEsol structure; uncorrected formation energy = 1.70 eV/f.u.; density of states at the Fermi level = 0.537 states/eV/atom; total DFT energy (no corrections) = -11.006 eV per atom; ρ = 4.76 Mg/m³
1.0
3.615 0.000 0.000
0.000 3.615 0.000
0.000 0.000 4.508
Li Co C S
1 2 1 1
Direct
0.000 0.000 0.000 Li
0.000 0.500 0.500 Co
0.500 0.000 0.500 Co
0.500 0.500 0.500 C
0.500 0.500 0.000 S